[1]
## TaGaF2 (GGA-PBE)

Data for a geometry-optimized TaGaF2 structure.

The formation energy (no corrections) is -0.98 eV/atom. The calculation puts the energy relative to the lowest polymorph listed for this composition at 0.435 eV per atom. The calculation puts the final energy at -5.64 eV per atom. The value obtained for the magnetization is 1.0 μB per formula unit. The density of states at the Fermi level is 3.7 states/eV/f.u.

Lattice parameters (Å, degrees): 7.1583 7.1583 5.7423 51.44 51.44 90.00
Closest atoms and distances in Å follow each position.
Sites, in units of the cell vectors:
F (0.7524, 0.1250, 0.2500)  2 Ta 2.11
F (0.9976, 0.6250, 0.2500)  2 Ta 2.11
F (0.3750, 0.2476, 0.7500)  2 Ta 2.11
F (0.8750, 0.0024, 0.7500)  2 Ta 2.11
Ga (0.5000, 0.5000, 0.0000)  2 Ta 2.71, 4 F 2.85
Ga (0.2500, 0.7500, 0.5000)  2 Ta 2.71, 4 F 2.85
Ta (0.0000, 0.0000, 0.0000)  4 F 2.11
Ta (0.7500, 0.2500, 0.5000)  4 F 2.11


[2]
## Ta2GaF (GGA-PBE)

Data for a geometry-optimized Ta2GaF structure.

The formation energy (no corrections) is 0.06 eV/atom. The calculation puts the energy relative to the lowest polymorph listed for this composition at 0.224 eV per atom. The calculation puts the final energy at -7.09 eV per atom. The value obtained for the magnetization is 0.0 μB per formula unit. The density of states at the Fermi level is 1.3 states/eV/f.u.

Lattice parameters (Å, degrees): 3.8645 3.8645 9.7300 78.55 78.55 90.00
Closest atoms and distances in Å follow each position.
Sites, in units of the cell vectors:
F (0.5000, 0.5000, 0.0000)  4 Ta 2.72, 4 Ga 2.73
F (0.2500, 0.7500, 0.5000)  4 Ta 2.72, 4 Ga 2.73
Ga (0.0000, 0.0000, 0.0000)  4 Ta 2.69, 4 F 2.73
Ga (0.7500, 0.2500, 0.5000)  4 Ta 2.69, 4 F 2.73
Ta (0.6341, 0.1250, 0.2500)  4 Ta 2.68-2.78, 2 Ga 2.69, 2 F 2.72
Ta (0.1159, 0.6250, 0.2500)  4 Ta 2.68-2.78, 2 Ga 2.69, 2 F 2.72
Ta (0.3750, 0.3659, 0.7500)  4 Ta 2.68-2.78, 2 Ga 2.69, 2 F 2.72
Ta (0.8750, 0.8841, 0.7500)  4 Ta 2.68-2.78, 2 Ga 2.69, 2 F 2.72


> What is the energy relative to the lowest polymorph listed for this composition in the first record?

0.435 eV per atom


> Look up the final energy of the first one.

-5.64 eV per atom


> Among the records above, which one has the lowest energy relative to the lowest polymorph listed for this composition?

Ta2GaF